Run i
Computed, not measured: a relaxed structure of Al2ZnCl at the PBE level of DFT.

extended XYZ file:
```
4
Lattice="-2.328 -4.660 2.442 3.352 -4.140 2.174 -0.514 5.726 0.221" Properties=species:S:1:pos:R:3 pbc="T T T"
Al 0.000 0.000 0.000
Al 1.675 -1.407 2.351
Zn -1.165 -1.667 2.485
Cl 0.512 -4.400 2.308
```

Properties
**Space-group type**: I-4m2
**DOS at the Fermi energy**: 1.5 states/eV per cell

---

Run ii
Computed, not measured: a relaxed structure of Al2ZnCl at the PBE level of DFT.

extended XYZ file:
```
4
Lattice="-1.175 -6.616 2.327 4.176 2.278 -2.250 2.013 0.386 2.174" Properties=species:S:1:pos:R:3 pbc="T T T"
Cl 3.094 1.332 -0.038
Al 0.000 0.000 0.000
Al 0.419 -3.115 2.251
Zn 1.500 -2.169 0.039
```

Properties
**Space-group type**: C2/m
**DOS at the Fermi energy**: 1.1 states/eV per cell

---

Top of the stability list: run ii, leading by 18.9 kJ/mol of atoms.

---

Run i
Computed, not measured: a relaxed structure of Al2ZnCl at the PBE level of DFT.

extended XYZ file:
```
4
Lattice="-0.844 2.505 1.427 -4.866 -0.788 -1.495 -0.817 -2.560 4.010" Properties=species:S:1:pos:R:3 pbc="T T T"
Zn -2.842 -1.674 1.258
Cl -0.831 -0.027 2.719
Al -2.855 0.859 -0.034
Al 0.000 0.000 0.000
```

Properties
**Space-group type**: Pmmm
**DOS at the Fermi energy**: 1.2 states/eV per cell

---

Run ii
Computed, not measured: a relaxed structure of Al2ZnCl at the PBE level of DFT.

extended XYZ file:
```
4
Lattice="-3.027 0.595 -0.115 1.181 -2.467 -1.430 -1.235 -4.864 7.372" Properties=species:S:1:pos:R:3 pbc="T T T"
Cl -1.231 -2.152 1.071
Al -0.609 -2.398 3.634
Zn -1.849 -4.584 4.756
Al -0.009 -0.034 0.052
```

Properties
**Space-group type**: Cmmm
**DOS at the Fermi energy**: 1.4 states/eV per cell

---

Run iii
Computed, not measured: a relaxed structure of Al2ZnCl at the PBE level of DFT.

extended XYZ file:
```
4
Lattice="5.023 0.000 0.000 0.000 2.865 -0.009 0.000 0.018 5.022" Properties=species:S:1:pos:R:3 pbc="T T T"
Al 2.512 0.725 1.881
Cl 0.000 0.723 1.882
Zn 2.512 2.162 4.386
Al 0.000 0.731 4.392
```

Properties
**Space-group type**: P4/mmm
**DOS at the Fermi energy**: 1.2 states/eV per cell

---

Top of the stability list: run iii, leading by 9.9 kJ/mol of atoms.